Entry 1:
# TiBeCr PBE relaxed
# Energy relative to the elements, meV/atom: 24
# Energy relative to the lowest polymorph listed for this composition, eV/f.u.: 0.35
# Density, g/cm³: 4.90
# DFT total energy, eV per atom: -7.058
data_TiBeCr
_space_group_name_H-M_alt 'P -6 2 m'
_space_group_IT_number 189
_space_group_name_Hall 'P -6 -2'
_cell_length_a 6.2973
_cell_length_b 6.2973
_cell_length_c 3.2214
_cell_angle_alpha 90.00
_cell_angle_beta 90.00
_cell_angle_gamma 120.00
loop_
_atom_site_label
_atom_site_type_symbol
_atom_site_fract_x
_atom_site_fract_y
_atom_site_fract_z
_atom_site_occupancy
Ti1 Ti 0.0000 0.3925 0.0000 1
Be1 Be 0.0000 0.0000 0.0000 1
Be2 Be 0.3333 0.6667 0.5000 1
Cr1 Cr 0.0000 0.7451 0.5000 1



Entry 2:
# Ti2BeCr PBE relaxed
# Energy relative to the elements, meV/atom: 583
# Density, g/cm³: 4.62
# DFT total energy, eV per atom: -6.702
data_Ti2BeCr
_space_group_name_H-M_alt 'I -4 2 d'
_space_group_IT_number 122
_space_group_name_Hall 'I -4 2bw'
_cell_length_a 3.537
_cell_length_b 3.537
_cell_length_c 18.012
_cell_angle_alpha 90.00
_cell_angle_beta 90.00
_cell_angle_gamma 90.00
loop_
_atom_site_label
_atom_site_type_symbol
_atom_site_fract_x
_atom_site_fract_y
_atom_site_fract_z
_atom_site_occupancy
Ti1 Ti 0.246 0.250 0.125 1
Be1 Be 0.000 0.000 0.500 1
Cr1 Cr 0.000 0.000 0.000 1



Entry 3:
# TiBeCr3 PBE relaxed
# Energy relative to the elements, meV/atom: 708
# Energy relative to the lowest polymorph listed for this composition, eV/f.u.: 0.00
# Density, g/cm³: 5.52
# DFT total energy, eV per atom: -7.390
data_TiBeCr3
_space_group_name_H-M_alt 'P m -3 m'
_space_group_IT_number 221
_space_group_name_Hall '-P 4 2 3'
_cell_length_a 4.001
_cell_length_b 4.001
_cell_length_c 4.001
_cell_angle_alpha 90.00
_cell_angle_beta 90.00
_cell_angle_gamma 90.00
loop_
_atom_site_label
_atom_site_type_symbol
_atom_site_fract_x
_atom_site_fract_y
_atom_site_fract_z
_atom_site_occupancy
Ti1 Ti 0.000 0.000 0.000 1
Be1 Be 0.500 0.500 0.500 1
Cr1 Cr 0.000 0.500 0.500 1



Entry 4:
# TiBe9Cr2 PBE relaxed
# Energy relative to the elements, meV/atom: -218
# Energy relative to the lowest polymorph listed for this composition, eV/f.u.: 0.00
# Density, g/cm³: 3.57
# DFT total energy, eV per atom: -5.275
data_TiBe9Cr2
_space_group_name_H-M_alt 'R -3 m'
_space_group_IT_number 166
_space_group_name_Hall '-R 3 2"'
_cell_length_a 4.2752
_cell_length_b 4.2752
_cell_length_c 20.5170
_cell_angle_alpha 90.00
_cell_angle_beta 90.00
_cell_angle_gamma 120.00
loop_
_atom_site_label
_atom_site_type_symbol
_atom_site_fract_x
_atom_site_fract_y
_atom_site_fract_z
_atom_site_occupancy
Ti1 Ti 0.0000 0.0000 0.0000 1
Be1 Be 0.0000 0.0000 0.3339 1
Be2 Be 0.0000 0.0000 0.5000 1
Be3 Be 0.0046 0.5023 0.9149 1
Cr1 Cr 0.0000 0.0000 0.1461 1



Entry 5:
# TiBeZn2Cr PBE relaxed
# Energy relative to the elements, meV/atom: 1683
# Density, g/cm³: 4.23
# DFT total energy, eV per atom: -3.075
data_TiBeZn2Cr
_space_group_name_H-M_alt 'P 4/m m m'
_space_group_IT_number 123
_space_group_name_Hall '-P 4 2'
_cell_length_a 4.687
_cell_length_b 4.687
_cell_length_c 4.288
_cell_angle_alpha 90.00
_cell_angle_beta 90.00
_cell_angle_gamma 90.00
loop_
_atom_site_label
_atom_site_type_symbol
_atom_site_fract_x
_atom_site_fract_y
_atom_site_fract_z
_atom_site_occupancy
Ti1 Ti 0.000 0.000 0.000 1
Be1 Be 0.000 0.000 0.500 1
Zn1 Zn 0.000 0.500 0.000 1
Cr1 Cr 0.500 0.500 0.500 1



Entry 6:
# Zr2TiBeCr PBE relaxed
# Energy relative to the elements, meV/atom: 699
# Energy relative to the lowest polymorph listed for this composition, eV/f.u.: 0.00
# Density, g/cm³: 4.99
# DFT total energy, eV per atom: -6.969
data_Zr2TiBeCr
_space_group_name_H-M_alt 'P 4/m m m'
_space_group_IT_number 123
_space_group_name_Hall '-P 4 2'
_cell_length_a 4.725
_cell_length_b 4.725
_cell_length_c 4.346
_cell_angle_alpha 90.00
_cell_angle_beta 90.00
_cell_angle_gamma 90.00
loop_
_atom_site_label
_atom_site_type_symbol
_atom_site_fract_x
_atom_site_fract_y
_atom_site_fract_z
_atom_site_occupancy
Zr1 Zr 0.000 0.500 0.000 1
Ti1 Ti 0.000 0.000 0.500 1
Be1 Be 0.500 0.500 0.500 1
Cr1 Cr 0.500 0.500 0.000 1



Copy entry 6 word for word.
# Zr2TiBeCr PBE relaxed
# Energy relative to the elements, meV/atom: 699
# Energy relative to the lowest polymorph listed for this composition, eV/f.u.: 0.00
# Density, g/cm³: 4.99
# DFT total energy, eV per atom: -6.969
data_Zr2TiBeCr
_space_group_name_H-M_alt 'P 4/m m m'
_space_group_IT_number 123
_space_group_name_Hall '-P 4 2'
_cell_length_a 4.725
_cell_length_b 4.725
_cell_length_c 4.346
_cell_angle_alpha 90.00
_cell_angle_beta 90.00
_cell_angle_gamma 90.00
loop_
_atom_site_label
_atom_site_type_symbol
_atom_site_fract_x
_atom_site_fract_y
_atom_site_fract_z
_atom_site_occupancy
Zr1 Zr 0.000 0.500 0.000 1
Ti1 Ti 0.000 0.000 0.500 1
Be1 Be 0.500 0.500 0.500 1
Cr1 Cr 0.500 0.500 0.000 1